# 1
Density functional theory data (GGA-PBE) for an optimized crystal structure of Ac5TlAg2.

Values from the calculation:
formation energy	-206	meV/atom

```
16
Lattice="8.030 0.000 -3.790 -1.789 7.828 -3.790 -0.394 -0.494 9.566" Properties=species:S:1:pos:R:3 pbc="T T T"
Ac 2.566 5.105 2.183
Ac 4.562 7.609 -3.989
Ac 0.000 0.000 0.000
Ac 3.120 3.914 -3.790
Ac 1.285 -0.275 5.974
Ac 4.965 1.191 3.369
Ac -1.114 3.639 4.789
Ac 0.882 6.143 -1.383
Ac 6.961 3.695 -2.803
Ac 3.281 2.229 -0.198
Tl 4.483 5.624 -0.903
Tl 1.363 1.710 2.888
Ag 0.393 2.888 -1.895
Ag 4.833 1.026 -2.889
Ag 1.408 6.802 -4.692
Ag 5.848 4.940 -5.686
```

=====

# 2
Density functional theory data (GGA-PBE) for an optimized crystal structure of Ac5TlAg4.

Values from the calculation:
formation energy	-279	meV/atom

```
10
Lattice="3.971 0.000 0.000 0.000 3.971 0.000 0.000 0.000 20.225" Properties=species:S:1:pos:R:3 pbc="T T T"
Ac 1.985 1.985 2.204
Ac 1.985 1.985 6.158
Ac 1.985 1.985 10.113
Ac 1.985 1.985 14.067
Ac 1.985 1.985 18.022
Tl 0.000 0.000 0.000
Ag 0.000 0.000 4.196
Ag 0.000 0.000 8.141
Ag 0.000 0.000 12.084
Ag 0.000 0.000 16.029
```

=====

# 3
Density functional theory data (GGA-PBE) for an optimized crystal structure of AcTlAg.

Values from the calculation:
energy above the most stable polymorph in this dataset	0.154	eV per atom
formation energy	-166	meV/atom

```
3
Lattice="-1.178 3.372 1.529 -2.671 0.337 -2.802 -1.932 -4.712 3.968" Properties=species:S:1:pos:R:3 pbc="T T T"
Ac -2.884 1.144 0.193
Tl -5.225 -0.591 2.215
Ag -2.294 -1.700 1.982
```

=====

# 4
Density functional theory data (GGA-PBE) for an optimized crystal structure of Ac4TlAg.

Values from the calculation:
energy above the most stable polymorph in this dataset	0.000	eV per atom
formation energy	-174	meV/atom

```
6
Lattice="-1.735 1.935 3.092 -3.533 -1.742 -0.892 3.105 -10.584 8.366" Properties=species:S:1:pos:R:3 pbc="T T T"
Ac -0.005 -8.862 8.180
Ac -2.157 -1.529 2.385
Ac -3.284 -6.569 7.543
Ac 1.121 -3.823 3.022
Tl 0.000 0.000 0.000
Ag -1.081 -5.196 5.282
```

=====

# 5
Density functional theory data (GGA-PBE) for an optimized crystal structure of Ac4TlAg3.

Values from the calculation:
energy above the most stable polymorph in this dataset	0.000	eV per atom
formation energy	-285	meV/atom

```
8
Lattice="5.434 0.000 1.604 2.480 4.835 1.604 0.056 0.034 9.817" Properties=species:S:1:pos:R:3 pbc="T T T"
Ac 6.925 4.230 6.564
Ac 3.046 1.861 9.697
Ac 1.047 0.639 6.462
Ac 4.925 3.009 3.329
Tl 0.000 0.000 0.000
Ag 2.010 1.228 3.196
Ag 5.961 3.641 9.829
Ag 3.986 2.435 6.513
```

=====

# 6
Density functional theory data (GGA-PBE) for an optimized crystal structure of Ac3Tl2Ag.

Values from the calculation:
energy above the most stable polymorph in this dataset	0.061	eV per atom
formation energy	-243	meV/atom

```
12
Lattice="6.943 0.000 0.000 0.000 7.212 -0.032 -3.472 -1.834 8.187" Properties=species:S:1:pos:R:3 pbc="T T T"
Ac 4.337 1.803 -0.008
Ac 2.606 5.409 -0.024
Ac 0.737 0.092 2.679
Ac 4.209 1.680 5.492
Ac -0.737 3.698 2.664
Ac 2.734 5.285 5.476
Tl 2.666 3.322 2.705
Tl 4.277 -0.284 2.721
Tl -0.806 5.662 5.435
Tl 0.806 2.056 5.450
Ag 6.011 5.409 -0.024
Ag 0.932 1.803 -0.008
```

=====

# 7
Density functional theory data (GGA-PBE) for an optimized crystal structure of Ac4Tl2Ag5.

Values from the calculation:
formation energy	-207	meV/atom

```
11
Lattice="-0.793 -3.201 -2.256 2.293 -5.096 6.426 -8.901 -0.693 4.113" Properties=species:S:1:pos:R:3 pbc="T T T"
Ac -4.634 -5.721 6.209
Ac -7.578 -3.413 3.969
Ac -2.767 -3.269 2.074
Ac 0.177 -5.577 4.314
Tl -5.373 -0.835 3.074
Tl -1.236 -4.954 7.464
Ag -1.960 -3.229 5.272
Ag -0.741 -0.630 1.154
Ag 1.146 -2.548 3.213
Ag -5.868 -5.159 9.384
Ag -4.649 -2.559 5.267
```

=====

# 8
Density functional theory data (GGA-PBE) for an optimized crystal structure of Ac2Tl3Ag4.

Values from the calculation:
formation energy	-150	meV/atom

```
18
Lattice="-1.733 -5.752 2.591 8.135 -1.435 2.255 -0.549 6.700 6.247" Properties=species:S:1:pos:R:3 pbc="T T T"
Ac 4.476 0.001 2.996
Ac 1.377 -0.488 8.096
Ac -0.381 2.851 6.074
Ac 6.234 -3.338 5.019
Tl 0.000 0.000 0.000
Tl 3.201 -3.593 2.423
Tl 4.894 -0.425 6.460
Tl 0.092 -2.938 5.928
Tl 0.958 -0.062 4.632
Tl 5.761 2.451 5.165
Ag 4.413 0.877 9.028
Ag 0.574 -4.240 3.361
Ag 1.440 -1.364 2.065
Ag 5.279 3.753 7.732
Ag 7.443 -0.067 4.828
Ag -1.590 -0.420 6.265
Ag 2.946 1.809 5.986
Ag 2.907 -2.296 5.106
```